Compound: RbMnSiO4
Source: Alexandria
Functional: GGA+U
Structure: optimized geometry

Properties
Crystal system   monoclinic
Total DFT energy (no corrections)   -96.17 eV/cell

Geometry as POSCAR:
```
RbMnSiO4
1.0
5.207 0.000 0.000
0.000 5.586 0.000
-0.354 0.000 7.333
Rb Mn Si O
2 2 2 8
direct
0.224 0.250 0.106
0.776 0.750 0.894
0.200 0.750 0.464
0.800 0.250 0.536
0.323 0.250 0.645
0.677 0.750 0.355
0.123 0.023 0.663
0.123 0.477 0.663
0.404 0.750 0.230
0.451 0.250 0.442
0.549 0.750 0.558
0.596 0.250 0.770
0.877 0.523 0.337
0.877 0.977 0.337
```